## DyB2Rh6 (PBE-GGA)

Data for crystalline DyB2Rh6 at its relaxed geometry.

```
DyB2Rh6
1.0
-3.753 -1.768 6.167
-3.138 -6.706 0.646
2.804 -4.972 4.760
B Rh Dy
4 12 2
Direct
0.625 0.125 0.125
0.125 0.125 0.625
0.125 0.125 0.125
0.125 0.625 0.125
0.210 0.790 0.210
0.460 0.460 0.040
0.460 0.040 0.460
0.790 0.210 0.210
0.790 0.210 0.790
0.210 0.210 0.790
0.040 0.460 0.040
0.210 0.790 0.790
0.790 0.790 0.210
0.040 0.040 0.460
0.460 0.040 0.040
0.040 0.460 0.460
0.500 0.500 0.500
0.750 0.750 0.750
```

Energy relative to the elements: -0.75 eV/f.u.
Theoretical density: 9.2 g/cm³
E: -6.9792 eV/atom
Spin magnetization: 0.14 μB per atom



## Sc3TcO (PBE-GGA)

Data for crystalline Sc3TcO at its relaxed geometry.

```
Sc3TcO
1.0
-1.000 0.046 -2.892
1.632 -6.927 -0.674
-6.226 2.742 2.196
Sc O Tc
3 1 1
Direct
0.500 0.203 0.323
0.000 0.238 0.762
0.500 0.677 0.797
0.000 0.432 0.568
0.500 0.078 0.922
```

ΔE_f (raw): -0.4501 eV per atom
Theoretical density: 3.3 g/cm³
Energy relative to the lowest polymorph listed for this composition: 872 meV/atom
E: -7.3138 eV/atom
Spin magnetization: 0.16 μB per atom



## KCd2S2 (PBE-GGA)

Data for crystalline KCd2S2 at its relaxed geometry.

```
KCd2S2
1.0
8.324 0.000 0.000
0.000 8.324 0.000
0.000 0.000 3.782
S K Cd
4 2 4
Direct
0.762 0.262 0.500
0.738 0.762 0.500
0.262 0.238 0.500
0.238 0.738 0.500
0.000 0.000 0.000
0.500 0.500 0.000
0.118 0.382 0.000
0.882 0.618 0.000
0.382 0.882 0.000
0.618 0.118 0.000
```

ΔE_f (raw): -0.4113 eV per atom
Theoretical density: 4.2 g/cm³
Energy relative to the lowest polymorph listed for this composition: 120 meV/atom
E: -2.6478 eV/atom
Spin magnetization: 0.00 μB per atom



## NdDyCu2Ge2 (PBE-GGA)

Data for crystalline NdDyCu2Ge2 at its relaxed geometry.

```
NdDyCu2Ge2
1.0
4.275 0.000 0.000
-2.138 3.702 0.000
0.000 0.000 7.597
Dy Ge Cu Nd
1 2 2 1
Direct
0.000 0.000 0.500
0.333 0.667 0.260
0.667 0.333 0.740
0.667 0.333 0.269
0.333 0.667 0.731
0.000 0.000 0.000
```

Energy relative to the elements: -4.07 eV/f.u.
Theoretical density: 8.0 g/cm³
E: -5.1442 eV/atom
Spin magnetization: 0.00 μB per atom



## Tc2MoRu (PBE-GGA)

Data for crystalline Tc2MoRu at its relaxed geometry.

```
Tc2MoRu
1.0
-1.364 0.807 -2.255
0.208 -3.601 -1.415
-4.797 -1.242 2.456
Tc Ru Mo
2 1 1
Direct
0.500 0.500 0.242
0.000 0.000 0.002
0.500 0.500 0.753
0.000 0.000 0.503
```

Energy relative to the elements: 0.34 eV/f.u.
Theoretical density: 11.0 g/cm³
Energy relative to the lowest polymorph listed for this composition: 69 meV/atom
E: -10.1251 eV/atom
Spin magnetization: 0.00 μB per atom



## NdSm2Ho6 (PBE-GGA)

Data for crystalline NdSm2Ho6 at its relaxed geometry.

```
NdSm2Ho6
1.0
6.055 -0.027 -0.016
0.035 7.465 0.008
0.035 3.726 6.469
Ho Sm Nd
6 2 1
Direct
0.297 0.813 0.374
0.703 0.626 0.187
0.297 0.813 0.813
0.703 0.187 0.187
0.703 0.187 0.626
0.297 0.374 0.813
0.788 0.667 0.667
0.212 0.333 0.333
0.000 0.000 0.000
```

Energy relative to the elements: 2.07 eV/f.u.
Theoretical density: 8.2 g/cm³
Energy relative to the lowest polymorph listed for this composition: 209 meV/atom
E: -4.4001 eV/atom
Spin magnetization: 0.00 μB per atom



## CsCdPb3 (PBE-GGA)

Data for crystalline CsCdPb3 at its relaxed geometry.

```
CsCdPb3
1.0
-5.095 -2.903 0.862
2.599 -5.058 -1.670
1.553 -1.057 5.621
Pb Cs Cd
3 1 1
Direct
0.500 0.000 0.000
0.000 0.000 0.500
0.000 0.500 0.000
0.500 0.500 0.500
0.000 0.000 0.000
```

Energy relative to the elements: 0.95 eV/f.u.
Theoretical density: 6.9 g/cm³
Energy relative to the lowest polymorph listed for this composition: 296 meV/atom
E: -2.3892 eV/atom
Spin magnetization: 0.00 μB per atom



## Pa3Al (PBE-GGA)

Data for crystalline Pa3Al at its relaxed geometry.

```
Pa3Al
1.0
3.143 0.000 0.000
0.000 5.261 0.000
0.000 0.000 5.585
Pa Al
3 1
Direct
0.500 0.000 0.472
0.500 0.500 0.861
0.000 0.500 0.345
0.000 0.000 0.988
```

Energy relative to the elements: -0.42 eV/f.u.
Theoretical density: 12.9 g/cm³
Energy relative to the lowest polymorph listed for this composition: 8 meV/atom
E: -8.1632 eV/atom
Spin magnetization: 0.00 μB per atom



## RbDy2C2N6 (PBE-GGA)

Data for crystalline RbDy2C2N6 at its relaxed geometry.

```
RbDy2C2N6
1.0
-1.927 -5.661 -1.158
3.428 -3.797 -3.157
0.200 -1.294 5.986
C N Dy Rb
2 6 2 1
Direct
0.840 0.319 0.246
0.160 0.681 0.754
0.018 0.592 0.818
0.982 0.408 0.182
0.925 0.150 0.362
0.075 0.850 0.638
0.610 0.408 0.182
0.390 0.592 0.818
0.172 0.655 0.202
0.828 0.345 0.798
0.500 0.000 0.500
```

ΔE_f (raw): -0.4034 eV per atom
Theoretical density: 4.9 g/cm³
E: -7.5463 eV/atom
Spin magnetization: 0.07 μB per atom



## Tm2InAu2 (PBE-GGA)

Data for crystalline Tm2InAu2 at its relaxed geometry.

```
Tm2InAu2
1.0
8.269 0.000 0.000
0.000 8.269 0.000
0.000 0.000 3.531
Au Tm In
4 4 2
Direct
0.135 0.365 0.000
0.365 0.865 0.000
0.865 0.635 0.000
0.635 0.135 0.000
0.844 0.344 0.500
0.156 0.656 0.500
0.344 0.156 0.500
0.656 0.844 0.500
0.000 0.000 0.500
0.500 0.500 0.500
```

Energy relative to the elements: -2.97 eV/f.u.
Theoretical density: 11.6 g/cm³
Energy relative to the lowest polymorph listed for this composition: 217 meV/atom
E: -4.2406 eV/atom
Spin magnetization: 0.00 μB per atom



## Be2HgPt (PBE-GGA)

Data for crystalline Be2HgPt at its relaxed geometry.

```
Be2HgPt
1.0
4.889 -0.008 0.000
2.251 4.340 0.000
-3.570 -2.166 2.543
Be Hg Pt
2 1 1
Direct
0.000 0.000 0.000
0.250 0.750 0.500
0.500 0.500 0.000
0.750 0.250 0.500
```

Energy relative to the elements: -0.03 eV/f.u.
Theoretical density: 12.7 g/cm³
Energy relative to the lowest polymorph listed for this composition: 155 meV/atom
E: -3.4566 eV/atom
Spin magnetization: 0.00 μB per atom



## NdSc2Ru9 (PBE-GGA)

Data for crystalline NdSc2Ru9 at its relaxed geometry.

```
NdSc2Ru9
1.0
5.023 0.000 1.495
2.289 4.471 1.495
0.037 0.023 9.060
Ru Nd Sc
9 1 2
Direct
0.072 0.593 0.743
0.339 0.339 0.982
0.407 0.928 0.257
0.593 0.072 0.743
0.407 0.407 0.257
0.661 0.661 0.018
0.500 0.500 0.500
0.928 0.407 0.257
0.593 0.593 0.743
0.000 0.000 0.000
0.860 0.860 0.420
0.140 0.140 0.580
```

Energy relative to the elements: -1.56 eV/f.u.
Theoretical density: 9.4 g/cm³
E: -8.5392 eV/atom
Spin magnetization: 0.00 μB per atom



## RbLaP2Au (PBE-GGA)

Data for crystalline RbLaP2Au at its relaxed geometry.

```
RbLaP2Au
1.0
5.288 0.000 0.000
0.000 5.350 0.000
0.000 0.000 5.288
Au La P Rb
1 1 2 1
Direct
0.000 0.000 0.000
0.000 0.500 0.000
0.000 0.000 0.500
0.500 0.000 0.000
0.500 0.500 0.500
```

Energy relative to the elements: 1.35 eV/f.u.
Theoretical density: 5.4 g/cm³
Energy relative to the lowest polymorph listed for this composition: 223 meV/atom
E: -3.7277 eV/atom
Spin magnetization: 0.00 μB per atom



## Ce2PmDy6Er3 (PBE-GGA)

Data for crystalline Ce2PmDy6Er3 at its relaxed geometry.

```
Ce2PmDy6Er3
1.0
6.124 -0.001 0.003
-3.061 5.304 0.003
-1.027 -1.779 11.544
Er Dy Pm Ce
3 6 1 2
Direct
0.834 0.166 0.500
0.166 0.834 0.500
0.500 0.500 0.500
0.084 0.421 0.251
0.252 0.252 0.749
0.421 0.084 0.251
0.579 0.916 0.749
0.748 0.748 0.251
0.916 0.579 0.749
0.000 0.000 0.000
0.667 0.333 0.000
0.333 0.667 0.000
```

Energy relative to the elements: 0.61 eV/f.u.
Theoretical density: 8.4 g/cm³
E: -4.7761 eV/atom
Spin magnetization: 0.15 μB per atom



## NpScSb2 (PBE-GGA)

Data for crystalline NpScSb2 at its relaxed geometry.

```
NpScSb2
1.0
3.935 0.000 0.000
0.000 5.021 0.000
0.000 0.000 5.021
Sb Sc Np
2 1 1
Direct
0.000 0.500 0.000
0.000 0.000 0.500
0.500 0.500 0.500
0.500 0.000 0.000
```

ΔE_f (raw): -0.3767 eV per atom
Theoretical density: 8.8 g/cm³
Energy relative to the lowest polymorph listed for this composition: 184 meV/atom
E: -7.2560 eV/atom
Spin magnetization: 1.18 μB per atom



## In2GaSe (PBE-GGA)

Data for crystalline In2GaSe at its relaxed geometry.

```
In2GaSe
1.0
-2.551 -1.391 2.389
2.617 -0.167 2.696
-1.643 6.439 1.994
In Ga Se
2 1 1
Direct
0.000 0.000 0.241
0.000 0.000 0.759
0.500 0.500 0.500
0.500 0.500 0.000
```

ΔE_f (raw): -0.1096 eV per atom
Theoretical density: 6.4 g/cm³
Energy relative to the lowest polymorph listed for this composition: 39 meV/atom
E: -3.1067 eV/atom
Spin magnetization: 0.00 μB per atom



## Li2Cd3Hg6 (PBE-GGA)

Data for crystalline Li2Cd3Hg6 at its relaxed geometry.

```
Li2Cd3Hg6
1.0
4.848 0.000 0.297
2.415 4.204 0.297
1.674 0.969 12.374
Hg Cd Li
6 3 2
Direct
0.183 0.183 0.450
0.817 0.817 0.550
0.904 0.904 0.289
0.366 0.366 0.903
0.096 0.096 0.711
0.634 0.634 0.097
0.731 0.731 0.807
0.269 0.269 0.193
0.000 0.000 0.000
0.452 0.452 0.643
0.548 0.548 0.357
```

Energy relative to the elements: -1.24 eV/f.u.
Theoretical density: 10.4 g/cm³
Energy relative to the lowest polymorph listed for this composition: 0 meV/atom
E: -0.8752 eV/atom
Spin magnetization: 0.00 μB per atom



## AcInGa2Pt5 (PBE-GGA)

Data for crystalline AcInGa2Pt5 at its relaxed geometry.

```
AcInGa2Pt5
1.0
-0.822 3.391 -3.351
-4.618 -1.410 -0.294
-1.861 4.952 5.468
Ga Pt In Ac
2 5 1 1
Direct
0.500 0.500 0.168
0.500 0.500 0.832
0.000 0.500 0.216
0.500 0.500 0.500
0.000 0.500 0.784
0.500 0.000 0.784
0.500 0.000 0.216
0.000 0.000 0.000
0.000 0.000 0.500
```

Energy relative to the elements: -4.46 eV/f.u.
Theoretical density: 13.6 g/cm³
E: -5.2852 eV/atom
Spin magnetization: 0.00 μB per atom



## Pu8PRh5 (PBE-GGA)

Data for crystalline Pu8PRh5 at its relaxed geometry.

```
Pu8PRh5
1.0
-1.999 -7.080 -0.452
1.627 2.467 -6.752
5.931 0.732 4.314
Pu Rh P
8 5 1
Direct
0.613 0.382 0.869
0.769 0.256 0.387
0.263 0.254 0.375
0.131 0.744 0.514
0.625 0.888 0.879
0.486 0.618 0.231
0.991 0.112 0.737
0.121 0.746 0.009
0.748 0.629 0.624
0.500 0.000 0.500
0.995 0.371 0.119
0.881 0.876 0.252
0.376 0.124 0.005
0.250 0.500 0.750
```

Energy relative to the elements: -6.49 eV/f.u.
Theoretical density: 13.5 g/cm³
E: -11.6648 eV/atom
Spin magnetization: 3.04 μB per atom



## HgIF (PBE-GGA)

Data for crystalline HgIF at its relaxed geometry.

```
HgIF
1.0
4.586 -0.030 -0.006
0.974 4.502 0.009
0.917 0.683 4.481
Hg I F
1 1 1
Direct
0.985 0.596 0.359
0.709 0.317 0.077
0.202 0.815 0.581
```

ΔE_f (raw): -0.8134 eV per atom
Theoretical density: 6.2 g/cm³
Energy relative to the lowest polymorph listed for this composition: 72 meV/atom
E: -2.0545 eV/atom
Spin magnetization: 0.00 μB per atom



## RbTl3Hg6 (PBE-GGA)

Data for crystalline RbTl3Hg6 at its relaxed geometry.

```
RbTl3Hg6
1.0
5.403 -0.005 0.000
0.019 9.710 0.000
0.000 0.000 12.279
Hg Tl Rb
12 6 2
Direct
0.497 0.786 0.707
0.003 0.048 0.285
0.498 0.102 0.808
0.503 0.214 0.293
0.997 0.952 0.715
0.497 0.452 0.785
0.502 0.898 0.192
0.998 0.602 0.692
0.003 0.714 0.207
0.002 0.398 0.308
0.997 0.286 0.793
0.503 0.548 0.215
0.000 0.196 0.534
0.500 0.000 0.500
0.000 0.500 0.000
0.500 0.304 0.034
0.000 0.804 0.466
0.500 0.696 0.966
0.000 0.000 0.000
0.500 0.500 0.500
```

Energy relative to the elements: -0.55 eV/f.u.
Theoretical density: 9.8 g/cm³
E: -1.0424 eV/atom
Spin magnetization: 0.00 μB per atom



## Tl3Ga11 (PBE-GGA)

Data for crystalline Tl3Ga11 at its relaxed geometry.

```
Tl3Ga11
1.0
-4.700 -0.837 -0.896
-0.650 -8.253 -2.051
-2.883 -4.795 6.437
Tl Ga
3 11
Direct
0.717 0.283 0.283
0.000 0.000 0.000
0.283 0.717 0.717
0.144 0.565 0.148
0.500 0.339 0.661
0.651 0.707 0.990
0.651 0.990 0.707
0.500 0.661 0.339
0.349 0.010 0.293
0.349 0.293 0.010
0.856 0.852 0.435
0.856 0.435 0.852
0.144 0.148 0.565
0.000 0.500 0.500
```

Energy relative to the elements: 0.44 eV/f.u.
Theoretical density: 7.5 g/cm³
E: -2.8542 eV/atom
Spin magnetization: 0.00 μB per atom



## Er3Mg7Ag2 (PBE-GGA)

Data for crystalline Er3Mg7Ag2 at its relaxed geometry.

```
Er3Mg7Ag2
1.0
5.899 0.000 0.000
2.950 5.109 0.000
2.950 1.703 9.448
Mg Ag Er
7 2 3
Direct
0.418 0.924 0.239
0.582 0.582 0.761
0.418 0.418 0.239
0.582 0.076 0.761
0.924 0.418 0.239
0.076 0.582 0.761
0.500 0.500 0.500
0.666 0.666 0.002
0.334 0.334 0.998
0.000 0.000 0.000
0.145 0.145 0.566
0.855 0.855 0.434
```

Energy relative to the elements: -1.18 eV/f.u.
Theoretical density: 5.2 g/cm³
E: -2.6443 eV/atom
Spin magnetization: 0.00 μB per atom